1.
{
  "formula": "Na2Li6Pb3",
  "functional": "PBE",
  "state": "relaxed",
  "formation_enthalpy_0k_mev_per_atom": -83,
  "space_group": "I4/mmm, No. 139",
  "total_magnetization_mub_per_cell": 0.75,
  "vol_a3_per_atom": 24.271,
  "cell": [[3.7789, 0.0000, 0.0000], [0.0000, 3.7789, 0.0000], [-1.8894, -1.8894, 18.6964]],
  "species": ["Na", "Na", "Li", "Li", "Li", "Li", "Li", "Li", "Pb", "Pb", "Pb"],
  "fractional_positions": [[0.4443, 0.4443, 0.8887], [0.5557, 0.5557, 0.1113], [0.1326, 0.6326, 0.2653], [0.6326, 0.1326, 0.2653], [0.8674, 0.3674, 0.7347], [0.3674, 0.8674, 0.7347], [0.7278, 0.7278, 0.4556], [0.2722, 0.2722, 0.5444], [0.0000, 0.0000, 0.0000], [0.8084, 0.8084, 0.6169], [0.1916, 0.1916, 0.3831]]
}

=====

2.
{
  "formula": "Na2LiPb",
  "functional": "PBE",
  "state": "relaxed",
  "polymorph_energy_ev_per_atom": 0.0502,
  "formation_enthalpy_0k_mev_per_atom": -109,
  "space_group": "Cmcm, No. 63",
  "total_magnetization_mub_per_cell": 0.00,
  "vol_a3_per_atom": 26.883,
  "cell": [[-1.3127, 0.0115, -3.0715], [1.1726, -4.8800, -0.5195], [-10.6964, -3.2489, 6.3754]],
  "species": ["Na", "Na", "Na", "Na", "Li", "Li", "Pb", "Pb"],
  "fractional_positions": [[0.7854, 0.2500, 0.5707], [0.2146, 0.7500, 0.4293], [0.0318, 0.2500, 0.0637], [0.9682, 0.7500, 0.9363], [0.1436, 0.2500, 0.2872], [0.8564, 0.7500, 0.7128], [0.4022, 0.2500, 0.8044], [0.5978, 0.7500, 0.1956]]
}

=====

3.
{
  "formula": "NaLi4Pb7",
  "functional": "PBE",
  "state": "relaxed",
  "formation_enthalpy_0k_mev_per_atom": -88,
  "space_group": "C2/m, No. 12",
  "total_magnetization_mub_per_cell": 0.00,
  "vol_a3_per_atom": 26.363,
  "cell": [[5.6856, 0.0000, 0.0000], [2.8428, 7.8593, 0.6243], [2.8428, 0.8558, 7.1479]],
  "species": ["Na", "Li", "Li", "Li", "Li", "Pb", "Pb", "Pb", "Pb", "Pb", "Pb", "Pb"],
  "fractional_positions": [[0.0000, 0.0000, 0.0000], [0.5416, 0.2708, 0.6461], [0.4584, 0.7292, 0.3539], [0.6811, 0.6556, 0.9822], [0.3189, 0.3444, 0.0178], [0.7820, 0.8691, 0.5668], [0.2180, 0.1309, 0.4332], [0.0730, 0.5984, 0.2556], [0.9270, 0.4016, 0.7444], [0.2795, 0.6731, 0.7678], [0.5000, 0.0000, 0.0000], [0.7205, 0.3269, 0.2322]]
}

=====

4.
{
  "formula": "Na6LiPb3",
  "functional": "PBE",
  "state": "relaxed",
  "formation_enthalpy_0k_mev_per_atom": -132,
  "space_group": "R-3, No. 148",
  "total_magnetization_mub_per_cell": 0.00,
  "vol_a3_per_atom": 29.962,
  "cell": [[8.5925, -0.1378, -2.5238], [-3.3354, 7.9199, -2.5238], [-0.0931, -0.1378, 8.9550]],
  "species": ["Na", "Na", "Na", "Na", "Na", "Na", "Na", "Na", "Na", "Na", "Na", "Na", "Li", "Li", "Pb", "Pb", "Pb", "Pb", "Pb", "Pb"],
  "fractional_positions": [[0.0030, 0.6937, 0.1424], [0.8576, 0.9970, 0.3063], [0.1921, 0.4726, 0.6455], [0.3063, 0.8576, 0.9970], [0.4726, 0.6455, 0.1921], [0.3545, 0.8079, 0.5274], [0.6455, 0.1921, 0.4726], [0.5274, 0.3545, 0.8079], [0.6937, 0.1424, 0.0030], [0.8079, 0.5274, 0.3545], [0.1424, 0.0030, 0.6937], [0.9970, 0.3063, 0.8576], [0.0000, 0.0000, 0.0000], [0.5000, 0.5000, 0.5000], [0.1171, 0.3834, 0.2537], [0.2537, 0.1171, 0.3834], [0.6166, 0.7463, 0.8829], [0.3834, 0.2537, 0.1171], [0.7463, 0.8829, 0.6166], [0.8829, 0.6166, 0.7463]]
}

=====

5.
{
  "formula": "NaLiPb6",
  "functional": "PBE",
  "state": "relaxed",
  "formation_enthalpy_0k_mev_per_atom": -126,
  "space_group": "P4/mmm, No. 123",
  "total_magnetization_mub_per_cell": 0.00,
  "vol_a3_per_atom": 29.138,
  "cell": [[-0.4518, 3.1542, 3.7077], [-4.6557, 0.8071, -1.2540], [-2.8355, -7.2759, 5.8441]],
  "species": ["Na", "Li", "Pb", "Pb", "Pb", "Pb", "Pb", "Pb"],
  "fractional_positions": [[0.0000, 0.0000, 0.0000], [0.0000, 0.0000, 0.5000], [0.5000, 0.5000, 0.0000], [0.5000, 0.5000, 0.5000], [0.5000, 0.0000, 0.2559], [0.5000, 0.0000, 0.7441], [0.0000, 0.5000, 0.2559], [0.0000, 0.5000, 0.7441]]
}

=====

6.
{
  "formula": "NaLi2Pb9",
  "functional": "PBE",
  "state": "relaxed",
  "formation_enthalpy_0k_mev_per_atom": -126,
  "space_group": "P4/mmm, No. 123",
  "total_magnetization_mub_per_cell": 0.00,
  "vol_a3_per_atom": 28.848,
  "cell": [[-2.1357, 4.1235, 1.4919], [-3.4810, -2.6034, 2.2124], [7.9558, -0.2863, 12.1805]],
  "species": ["Na", "Li", "Li", "Pb", "Pb", "Pb", "Pb", "Pb", "Pb", "Pb", "Pb", "Pb"],
  "fractional_positions": [[0.0000, 0.0000, 0.0000], [0.0000, 0.0000, 0.3349], [0.0000, 0.0000, 0.6651], [0.5000, 0.5000, 0.0000], [0.5000, 0.5000, 0.3356], [0.5000, 0.5000, 0.6644], [0.5000, 0.0000, 0.1719], [0.5000, 0.0000, 0.5000], [0.5000, 0.0000, 0.8281], [0.0000, 0.5000, 0.1719], [0.0000, 0.5000, 0.5000], [0.0000, 0.5000, 0.8281]]
}

=====

7.
{
  "formula": "NaLiPb4",
  "functional": "PBE",
  "state": "relaxed",
  "polymorph_energy_ev_per_atom": 0.0979,
  "formation_enthalpy_0k_mev_per_atom": 8,
  "space_group": "F-43m, No. 216",
  "total_magnetization_mub_per_cell": 0.00,
  "vol_a3_per_atom": 33.293,
  "cell": [[-5.3002, 3.7037, 1.1156], [-3.8242, 1.8462, -5.0021], [-5.9994, -2.5725, -0.6664]],
  "species": ["Pb", "Pb", "Pb", "Pb", "Na", "Li"],
  "fractional_positions": [[0.6252, 0.6252, 0.1244], [0.6252, 0.1244, 0.6252], [0.6252, 0.6252, 0.6252], [0.1244, 0.6252, 0.6252], [0.2500, 0.2500, 0.2500], [0.0000, 0.0000, 0.0000]]
}

=====

8.
{
  "formula": "Na2LiPb9",
  "functional": "PBE",
  "state": "relaxed",
  "formation_enthalpy_0k_mev_per_atom": -124,
  "space_group": "P4/mmm, No. 123",
  "total_magnetization_mub_per_cell": 0.00,
  "vol_a3_per_atom": 29.407,
  "cell": [[-4.7475, -1.2159, -0.2134], [1.0910, -3.7359, -2.9859], [1.7267, -8.7811, 11.6178]],
  "species": ["Na", "Na", "Li", "Pb", "Pb", "Pb", "Pb", "Pb", "Pb", "Pb", "Pb", "Pb"],
  "fractional_positions": [[0.0000, 0.0000, 0.3313], [0.0000, 0.0000, 0.6687], [0.0000, 0.0000, 0.0000], [0.5000, 0.5000, 0.0000], [0.5000, 0.5000, 0.3313], [0.5000, 0.5000, 0.6687], [0.5000, 0.0000, 0.1615], [0.5000, 0.0000, 0.5000], [0.5000, 0.0000, 0.8385], [0.0000, 0.5000, 0.1615], [0.0000, 0.5000, 0.5000], [0.0000, 0.5000, 0.8385]]
}

=====

9.
{
  "formula": "Na2LiPb",
  "functional": "PBE",
  "state": "relaxed",
  "polymorph_energy_ev_per_atom": 0.0000,
  "formation_enthalpy_0k_mev_per_atom": -160,
  "space_group": "I4/mmm, No. 139",
  "total_magnetization_mub_per_cell": 0.00,
  "vol_a3_per_atom": 25.999,
  "cell": [[4.8646, 0.0000, -1.3491], [-0.3742, 4.8502, -1.3491], [-0.1497, -0.1617, 8.9051]],
  "species": ["Na", "Na", "Na", "Na", "Li", "Li", "Pb", "Pb"],
  "fractional_positions": [[0.0000, 0.5000, 0.0000], [0.5000, 0.0000, 0.0000], [0.3531, 0.3531, 0.7062], [0.6469, 0.6469, 0.2938], [0.2500, 0.7500, 0.5000], [0.7500, 0.2500, 0.5000], [0.1432, 0.1432, 0.2864], [0.8568, 0.8568, 0.7136]]
}

=====

10.
{
  "formula": "NaLi2Pb",
  "functional": "PBE",
  "state": "relaxed",
  "polymorph_energy_ev_per_atom": 0.0623,
  "formation_enthalpy_0k_mev_per_atom": -181,
  "space_group": "P4/mmm, No. 123",
  "total_magnetization_mub_per_cell": 0.00,
  "vol_a3_per_atom": 22.739,
  "cell": [[-2.1734, 2.4865, -1.8209], [-4.0114, -2.3760, 1.5433], [-0.1297, 2.8263, 4.0142]],
  "species": ["Pb", "Na", "Li", "Li"],
  "fractional_positions": [[0.5000, 0.5000, 0.5000], [0.5000, 0.0000, 0.0000], [0.0000, 0.0000, 0.5000], [0.0000, 0.5000, 0.0000]]
}

=====

11.
{
  "formula": "Na2LiPb4",
  "functional": "PBE",
  "state": "relaxed",
  "polymorph_energy_ev_per_atom": 0.0000,
  "formation_enthalpy_0k_mev_per_atom": -128,
  "space_group": "I4/mmm, No. 139",
  "total_magnetization_mub_per_cell": 0.00,
  "vol_a3_per_atom": 27.902,
  "cell": [[4.7285, 0.0000, -1.5073], [-0.4805, 4.7040, -1.5073], [0.1587, 0.1758, 8.6683]],
  "species": ["Na", "Na", "Li", "Pb", "Pb", "Pb", "Pb"],
  "fractional_positions": [[0.7519, 0.7519, 0.5038], [0.2481, 0.2481, 0.4962], [0.0000, 0.0000, 0.0000], [0.3981, 0.8981, 0.7961], [0.8981, 0.3981, 0.7961], [0.6019, 0.1019, 0.2039], [0.1019, 0.6019, 0.2039]]
}

=====

12.
{
  "formula": "NaLi4Pb4",
  "functional": "PBE",
  "state": "relaxed",
  "formation_enthalpy_0k_mev_per_atom": -126,
  "space_group": "P4_2/nmc, No. 137",
  "total_magnetization_mub_per_cell": 0.00,
  "vol_a3_per_atom": 26.979,
  "cell": [[7.0157, 0.0000, 0.0000], [0.0000, 7.0157, 0.0000], [0.0000, 0.0000, 9.8664]],
  "species": ["Na", "Na", "Li", "Li", "Li", "Li", "Li", "Li", "Li", "Li", "Pb", "Pb", "Pb", "Pb", "Pb", "Pb", "Pb", "Pb"],
  "fractional_positions": [[0.0000, 0.0000, 0.0000], [0.5000, 0.5000, 0.5000], [0.5000, 0.7838, 0.7911], [0.5000, 0.2162, 0.7911], [0.7838, 0.5000, 0.2089], [0.2162, 0.5000, 0.2089], [0.2838, 0.0000, 0.2911], [0.7162, 0.0000, 0.2911], [0.0000, 0.2838, 0.7089], [0.0000, 0.7162, 0.7089], [0.2315, 0.5000, 0.9132], [0.7685, 0.5000, 0.9132], [0.5000, 0.7685, 0.0868], [0.5000, 0.2315, 0.0868], [0.0000, 0.7315, 0.4132], [0.0000, 0.2685, 0.4132], [0.2685, 0.0000, 0.5868], [0.7315, 0.0000, 0.5868]]
}

=====

13.
{
  "formula": "Na2LiPb4",
  "functional": "PBE",
  "state": "relaxed",
  "polymorph_energy_ev_per_atom": 0.1890,
  "formation_enthalpy_0k_mev_per_atom": 61,
  "space_group": "I4/mmm, No. 139",
  "total_magnetization_mub_per_cell": 0.00,
  "vol_a3_per_atom": 31.177,
  "cell": [[5.1810, 0.0000, 0.0000], [0.0000, 5.1810, 0.0000], [2.5905, 2.5905, 8.1304]],
  "species": ["Pb", "Pb", "Pb", "Pb", "Na", "Na", "Li"],
  "fractional_positions": [[0.1657, 0.1657, 0.6686], [0.8343, 0.8343, 0.3314], [0.0000, 0.5000, 0.0000], [0.5000, 0.0000, 0.0000], [0.3600, 0.3600, 0.2800], [0.6400, 0.6400, 0.7200], [0.0000, 0.0000, 0.0000]]
}

=====

14.
{
  "formula": "Na3Li2Pb2",
  "functional": "PBE",
  "state": "relaxed",
  "polymorph_energy_ev_per_atom": 0.0226,
  "formation_enthalpy_0k_mev_per_atom": -167,
  "space_group": "Cmmm, No. 65",
  "total_magnetization_mub_per_cell": 0.00,
  "vol_a3_per_atom": 25.952,
  "cell": [[-2.5031, 0.5053, 2.1662], [-2.7158, -3.2599, -2.3778], [5.3711, -6.4751, 7.7170]],
  "species": ["Na", "Na", "Na", "Li", "Li", "Pb", "Pb"],
  "fractional_positions": [[0.5000, 0.5857, 0.1714], [0.5000, 0.4143, 0.8286], [0.0000, 0.0000, 0.0000], [0.5000, 0.7180, 0.4360], [0.5000, 0.2820, 0.5640], [0.0000, 0.8350, 0.6699], [0.0000, 0.1650, 0.3301]]
}

=====

15.
{
  "formula": "Na2LiPb",
  "functional": "PBE",
  "state": "relaxed",
  "polymorph_energy_ev_per_atom": 0.2170,
  "formation_enthalpy_0k_mev_per_atom": 57,
  "space_group": "R-3m, No. 166",
  "total_magnetization_mub_per_cell": 0.00,
  "vol_a3_per_atom": 30.350,
  "cell": [[3.4478, 0.0000, 0.0000], [1.7239, 2.9859, 0.0000], [1.7239, 0.9953, 11.7924]],
  "species": ["Pb", "Na", "Na", "Li"],
  "fractional_positions": [[0.0000, 0.0000, 0.0000], [0.0909, 0.0909, 0.7273], [0.9091, 0.9091, 0.2727], [0.5000, 0.5000, 0.5000]]
}

=====

16.
{
  "formula": "NaLiPb",
  "functional": "PBE",
  "state": "relaxed",
  "polymorph_energy_ev_per_atom": 0.0000,
  "formation_enthalpy_0k_mev_per_atom": -219,
  "space_group": "Pm, No. 6",
  "total_magnetization_mub_per_cell": 0.00,
  "vol_a3_per_atom": 24.446,
  "cell": [[-0.5576, -0.7039, 4.7958], [0.4792, -3.2546, -0.4216], [8.6390, 2.9868, 1.4426]],
  "species": ["Na", "Na", "Li", "Li", "Pb", "Pb"],
  "fractional_positions": [[0.5231, 0.3492, 0.7391], [0.0230, 0.9313, 0.9324], [0.0232, 0.0938, 0.2592], [0.5232, 0.1937, 0.4127], [0.5230, 0.5250, 0.1247], [0.0230, 0.7593, 0.5468]]
}

=====

17.
{
  "formula": "NaLiPb4",
  "functional": "PBE",
  "state": "relaxed",
  "polymorph_energy_ev_per_atom": 0.0077,
  "formation_enthalpy_0k_mev_per_atom": -82,
  "space_group": "P2/m, No. 10",
  "total_magnetization_mub_per_cell": 0.00,
  "vol_a3_per_atom": 28.179,
  "cell": [[3.5064, 0.0000, 0.0000], [0.0000, 3.3604, -0.4290], [0.0000, -1.4008, 14.5278]],
  "species": ["Na", "Li", "Pb", "Pb", "Pb", "Pb"],
  "fractional_positions": [[0.5000, 0.5000, 0.5000], [0.0000, 0.0000, 0.0000], [0.0000, 0.1646, 0.6695], [0.5000, 0.3744, 0.8663], [0.5000, 0.6256, 0.1337], [0.0000, 0.8354, 0.3305]]
}

=====

18.
{
  "formula": "NaLi2Pb6",
  "functional": "PBE",
  "state": "relaxed",
  "formation_enthalpy_0k_mev_per_atom": -105,
  "space_group": "Immm, No. 71",
  "total_magnetization_mub_per_cell": 0.00,
  "vol_a3_per_atom": 29.205,
  "cell": [[3.4674, 0.0000, 0.7330], [0.9011, 8.6419, 4.3050], [-0.2060, 1.7106, 9.5425]],
  "species": ["Na", "Li", "Li", "Pb", "Pb", "Pb", "Pb", "Pb", "Pb"],
  "fractional_positions": [[0.5000, 0.5000, 0.5000], [0.3578, 0.1422, 0.1422], [0.6422, 0.8578, 0.8578], [0.1774, 0.5043, 0.1409], [0.8226, 0.4957, 0.8591], [0.8226, 0.8591, 0.4957], [0.0000, 0.1747, 0.8253], [0.0000, 0.8253, 0.1747], [0.1774, 0.1409, 0.5043]]
}

=====

19.
{
  "formula": "Na2Li4Pb3",
  "functional": "PBE",
  "state": "relaxed",
  "polymorph_energy_ev_per_atom": 0.0303,
  "formation_enthalpy_0k_mev_per_atom": -194,
  "space_group": "C2/c, No. 15",
  "total_magnetization_mub_per_cell": 0.00,
  "vol_a3_per_atom": 23.689,
  "cell": [[-2.9363, -1.7107, -4.0488], [-3.7090, -5.4052, 6.6321], [-6.6776, 4.6801, 4.5237]],
  "species": ["Na", "Na", "Na", "Na", "Li", "Li", "Li", "Li", "Li", "Li", "Li", "Li", "Pb", "Pb", "Pb", "Pb", "Pb", "Pb"],
  "fractional_positions": [[0.6453, 0.1573, 0.4017], [0.8547, 0.5983, 0.8427], [0.3547, 0.8427, 0.5983], [0.1453, 0.4017, 0.1573], [0.5277, 0.9267, 0.1712], [0.9723, 0.8288, 0.0733], [0.4723, 0.0733, 0.8288], [0.0277, 0.1712, 0.9267], [0.2034, 0.2702, 0.5332], [0.2966, 0.4668, 0.7298], [0.7966, 0.7298, 0.4668], [0.7034, 0.5332, 0.2702], [0.0724, 0.0322, 0.2670], [0.4276, 0.7330, 0.9678], [0.9276, 0.9678, 0.7330], [0.5724, 0.2670, 0.0322], [0.2500, 0.6310, 0.3690], [0.7500, 0.3690, 0.6310]]
}

=====

20.
{
  "formula": "Na2LiPb2",
  "functional": "PBE",
  "state": "relaxed",
  "polymorph_energy_ev_per_atom": 0.0524,
  "formation_enthalpy_0k_mev_per_atom": -105,
  "space_group": "Immm, No. 71",
  "total_magnetization_mub_per_cell": 0.00,
  "vol_a3_per_atom": 29.766,
  "cell": [[4.8197, 0.0000, 1.4216], [1.8427, 5.3648, 2.6335], [0.7956, 0.4947, 6.1834]],
  "species": ["Na", "Na", "Li", "Pb", "Pb"],
  "fractional_positions": [[0.1876, 0.3124, 0.3124], [0.8124, 0.6876, 0.6876], [0.0000, 0.0000, 0.0000], [0.5000, 0.2502, 0.7498], [0.5000, 0.7498, 0.2502]]
}